No. 1
# GGA-PBE NaLa2InRu, optimized geometry
data_NaLa2InRu
_space_group_name_H-M_alt 'P 4/m m m'
_space_group_IT_number 123
_space_group_name_Hall '-P 4 2'
_cell_length_a 5.4658
_cell_length_b 5.4658
_cell_length_c 5.3948
_cell_angle_alpha 90.00
_cell_angle_beta 90.00
_cell_angle_gamma 90.00
loop_
_atom_site_label
_atom_site_type_symbol
_atom_site_fract_x
_atom_site_fract_y
_atom_site_fract_z
Na1 Na 0.0000 0.0000 0.0000
La1 La 0.0000 0.5000 0.5000
In1 In 0.5000 0.5000 0.0000
Ru1 Ru 0.5000 0.5000 0.5000
# **Energy relative to the lowest polymorph listed for this composition**: 0.00 kcal/mol of atoms
# **Formation energy**: -0.220 eV per atom

No. 2
# GGA-PBE NaLa2InS5, optimized geometry
data_NaLa2InS5
_space_group_name_H-M_alt 'C m c 21'
_space_group_IT_number 36
_cell_length_a 4.0860
_cell_length_b 17.1364
_cell_length_c 12.0342
_cell_angle_alpha 90.00
_cell_angle_beta 90.00
_cell_angle_gamma 90.00
loop_
_space_group_symop_operation_xyz
'x,y,z'
'-x,-y,z+1/2'
'-x,y,z'
'x,-y,z+1/2'
'x+1/2,y+1/2,z'
'-x+1/2,-y+1/2,z+1/2'
'-x+1/2,y+1/2,z'
'x+1/2,-y+1/2,z+1/2'
loop_
_atom_site_label
_atom_site_type_symbol
_atom_site_fract_x
_atom_site_fract_y
_atom_site_fract_z
Na1 Na 0.0000 0.2105 0.0000
La1 La 0.0000 0.1193 0.6743
La2 La 0.0000 0.1411 0.2946
In1 In 0.0000 0.4517 0.4474
S1 S 0.0000 0.0463 0.0641
S2 S 0.0000 0.2886 0.6655
S3 S 0.0000 0.3209 0.3380
S4 S 0.0000 0.3691 0.9918
S5 S 0.0000 0.4916 0.7598
# **Formation energy from raw total energies**: -1.57 eV/atom

No. 3
# GGA-PBE NaLaInS2, optimized geometry
data_NaLaInS2
_space_group_name_H-M_alt 'P 4/m m m'
_space_group_IT_number 123
_space_group_name_Hall '-P 4 2'
_cell_length_a 5.2601
_cell_length_b 5.2601
_cell_length_c 5.7897
_cell_angle_alpha 90.00
_cell_angle_beta 90.00
_cell_angle_gamma 90.00
loop_
_atom_site_label
_atom_site_type_symbol
_atom_site_fract_x
_atom_site_fract_y
_atom_site_fract_z
Na1 Na 0.0000 0.0000 0.0000
La1 La 0.5000 0.5000 0.0000
In1 In 0.5000 0.5000 0.5000
S1 S 0.0000 0.5000 0.5000
# **Formation energy from raw total energies**: 0.08 eV/atom

No. 4
# GGA-PBE Na2LaInSb2, optimized geometry
data_Na2LaInSb2
_space_group_name_H-M_alt 'P m c 21'
_space_group_IT_number 26
_cell_length_a 4.4473
_cell_length_b 9.3913
_cell_length_c 9.0082
_cell_angle_alpha 90.00
_cell_angle_beta 90.00
_cell_angle_gamma 90.00
loop_
_space_group_symop_operation_xyz
'x,y,z'
'-x,-y,z+1/2'
'-x,y,z'
'x,-y,z+1/2'
loop_
_atom_site_label
_atom_site_type_symbol
_atom_site_fract_x
_atom_site_fract_y
_atom_site_fract_z
Na1 Na 0.0000 0.0819 0.0000
Na2 Na 0.5000 0.1876 0.2996
La1 La 0.5000 0.4396 0.8854
In1 In 0.0000 0.2647 0.5610
Sb1 Sb 0.0000 0.4249 0.1564
Sb2 Sb 0.5000 0.1356 0.7413
# **Formation energy from raw total energies**: -0.56 eV/atom

No. 5
# GGA-PBE NaLaInSe2, optimized geometry
data_NaLaInSe2
_space_group_name_H-M_alt 'P 4/m m m'
_space_group_IT_number 123
_space_group_name_Hall '-P 4 2'
_cell_length_a 5.8128
_cell_length_b 5.8128
_cell_length_c 6.2493
_cell_angle_alpha 90.00
_cell_angle_beta 90.00
_cell_angle_gamma 90.00
loop_
_atom_site_label
_atom_site_type_symbol
_atom_site_fract_x
_atom_site_fract_y
_atom_site_fract_z
Na1 Na 0.0000 0.0000 0.0000
La1 La 0.5000 0.5000 0.5000
In1 In 0.5000 0.5000 0.0000
Se1 Se 0.0000 0.5000 0.5000
# **Formation energy from raw total energies**: -0.52 eV/atom

No. 6
# GGA-PBE NaLa2InSe5, optimized geometry
data_NaLa2InSe5
_space_group_name_H-M_alt 'C m c 21'
_space_group_IT_number 36
_cell_length_a 4.2280
_cell_length_b 18.2174
_cell_length_c 12.4826
_cell_angle_alpha 90.00
_cell_angle_beta 90.00
_cell_angle_gamma 90.00
loop_
_space_group_symop_operation_xyz
'x,y,z'
'-x,-y,z+1/2'
'-x,y,z'
'x,-y,z+1/2'
'x+1/2,y+1/2,z'
'-x+1/2,-y+1/2,z+1/2'
'-x+1/2,y+1/2,z'
'x+1/2,-y+1/2,z+1/2'
loop_
_atom_site_label
_atom_site_type_symbol
_atom_site_fract_x
_atom_site_fract_y
_atom_site_fract_z
Na1 Na 0.0000 0.2102 0.0000
La1 La 0.0000 0.1210 0.6698
La2 La 0.0000 0.1363 0.2958
In1 In 0.0000 0.4410 0.4445
Se1 Se 0.0000 0.0436 0.0654
Se2 Se 0.0000 0.2911 0.6654
Se3 Se 0.0000 0.3167 0.3318
Se4 Se 0.0000 0.3658 0.9894
Se5 Se 0.0000 0.4947 0.7592
# **Formation energy from raw total energies**: -1.47 eV/atom

No. 7
# GGA-PBE NaLaInSe3, optimized geometry
data_NaLaInSe3
_space_group_name_H-M_alt 'P 1 21/m 1'
_space_group_IT_number 11
_cell_length_a 8.0478
_cell_length_b 4.2034
_cell_length_c 10.3824
_cell_angle_alpha 90.00
_cell_angle_beta 107.66
_cell_angle_gamma 90.00
loop_
_space_group_symop_operation_xyz
'x,y,z'
'-x,-y,-z'
'-x,y+1/2,-z'
'x,-y+1/2,z'
loop_
_atom_site_label
_atom_site_type_symbol
_atom_site_fract_x
_atom_site_fract_y
_atom_site_fract_z
Na1 Na 0.1528 0.2500 0.0960
La1 La 0.3023 0.7500 0.7863
In1 In 0.3231 0.7500 0.3705
Se1 Se 0.0408 0.2500 0.8039
Se2 Se 0.2846 0.2500 0.5452
Se3 Se 0.4135 0.7500 0.1088
# **Formation energy from raw total energies**: -1.17 eV/atom

No. 8
# GGA-PBE NaLaSmIn, optimized geometry
data_NaLaSmIn
_space_group_name_H-M_alt 'F -4 3 m'
_space_group_IT_number 216
_space_group_name_Hall 'F -4 2 3'
_cell_length_a 7.8872
_cell_length_b 7.8872
_cell_length_c 7.8872
_cell_angle_alpha 90.00
_cell_angle_beta 90.00
_cell_angle_gamma 90.00
loop_
_atom_site_label
_atom_site_type_symbol
_atom_site_fract_x
_atom_site_fract_y
_atom_site_fract_z
Na1 Na 0.0000 0.0000 0.0000
La1 La 0.2500 0.2500 0.2500
Sm1 Sm 0.2500 0.2500 0.7500
In1 In 0.0000 0.0000 0.5000
# **Formation energy**: -0.165 eV per atom

No. 9
# GGA-PBE NaLaInSn, optimized geometry
data_NaLaInSn
_space_group_name_H-M_alt 'P m m m'
_space_group_IT_number 47
_cell_length_a 4.6724
_cell_length_b 4.8065
_cell_length_c 5.0462
_cell_angle_alpha 90.00
_cell_angle_beta 90.00
_cell_angle_gamma 90.00
loop_
_space_group_symop_operation_xyz
'x,y,z'
'-x,-y,-z'
'-x,-y,z'
'x,y,-z'
'x,-y,-z'
'-x,y,z'
'-x,y,-z'
'x,-y,z'
loop_
_atom_site_label
_atom_site_type_symbol
_atom_site_fract_x
_atom_site_fract_y
_atom_site_fract_z
Na1 Na 0.0000 0.0000 0.0000
La1 La 0.0000 0.5000 0.5000
In1 In 0.5000 0.5000 0.0000
Sn1 Sn 0.5000 0.0000 0.5000
# **Energy relative to the lowest polymorph listed for this composition**: 0.00 kcal/mol of atoms
# **Formation energy**: -0.429 eV per atom

No. 10
# GGA-PBE NaLaInSn, optimized geometry
data_NaLaInSn
_space_group_name_H-M_alt 'F -4 3 m'
_space_group_IT_number 216
_space_group_name_Hall 'F -4 2 3'
_cell_length_a 7.7216
_cell_length_b 7.7216
_cell_length_c 7.7216
_cell_angle_alpha 90.00
_cell_angle_beta 90.00
_cell_angle_gamma 90.00
loop_
_atom_site_label
_atom_site_type_symbol
_atom_site_fract_x
_atom_site_fract_y
_atom_site_fract_z
Na1 Na 0.0000 0.0000 0.0000
La1 La 0.0000 0.0000 0.5000
In1 In 0.2500 0.2500 0.7500
Sn1 Sn 0.2500 0.2500 0.2500
# **Energy relative to the lowest polymorph listed for this composition**: 1.09 kcal/mol of atoms
# **Formation energy**: -0.382 eV per atom

no.,final energy (Ha/atom)
1,-0.17853
2,-0.19878
3,-0.12366
4,-0.13413
5,-0.13631
6,-0.18190
7,-0.16206
8,-0.13195
9,-0.13510
10,-0.13335